No. 1
Below is a relaxed YTmMg2 crystal, with properties calculated at the PBE level.

The structure in CIF format:
```
data_YTmMg2
_space_group_name_H-M_alt 'F m -3 m'
_space_group_IT_number 225
_space_group_name_Hall '-F 4 2 3'
_cell_length_a 7.5551
_cell_length_b 7.5551
_cell_length_c 7.5551
_cell_angle_alpha 90.00
_cell_angle_beta 90.00
_cell_angle_gamma 90.00
loop_
_atom_site_label
_atom_site_type_symbol
_atom_site_fract_x
_atom_site_fract_y
_atom_site_fract_z
Y1 Y 0.0000 0.0000 0.0000
Tm1 Tm 0.0000 0.0000 0.5000
Mg1 Mg 0.2500 0.2500 0.2500
```

**Energy above the most stable polymorph in this dataset**: 0.0000 eV per atom
**Energy of formation from the pure elements**: -0.09 eV per atom
**DFT total energy**: -57.9 eV for the cell shown

No. 2
Below is a relaxed Li2FeHg crystal, with properties calculated at the PBE level.

The structure in CIF format:
```
data_Li2FeHg
_space_group_name_H-M_alt 'R 3 m'
_space_group_IT_number 160
_space_group_name_Hall 'R 3 -2"'
_cell_length_a 2.9067
_cell_length_b 2.9067
_cell_length_c 28.5383
_cell_angle_alpha 90.00
_cell_angle_beta 90.00
_cell_angle_gamma 120.00
loop_
_atom_site_label
_atom_site_type_symbol
_atom_site_fract_x
_atom_site_fract_y
_atom_site_fract_z
Li1 Li 0.0000 0.0000 0.0000
Li2 Li 0.0000 0.0000 0.2423
Fe1 Fe 0.0000 0.0000 0.7430
Hg1 Hg 0.0000 0.0000 0.4931
```

**Energy of formation from the pure elements**: 0.25 eV per atom
**DFT total energy**: -34.8 eV for the cell shown

No. 3
Below is a relaxed PmNdCoCl crystal, with properties calculated at the PBE level.

The structure in CIF format:
```
data_PmNdCoCl
_space_group_name_H-M_alt 'R 3 m'
_space_group_IT_number 160
_space_group_name_Hall 'R 3 -2"'
_cell_length_a 3.9208
_cell_length_b 3.9208
_cell_length_c 22.9292
_cell_angle_alpha 90.00
_cell_angle_beta 90.00
_cell_angle_gamma 120.00
loop_
_atom_site_label
_atom_site_type_symbol
_atom_site_fract_x
_atom_site_fract_y
_atom_site_fract_z
Pm1 Pm 0.0000 0.0000 0.0000
Nd1 Nd 0.0000 0.0000 0.7993
Co1 Co 0.0000 0.0000 0.3993
Cl1 Cl 0.0000 0.0000 0.5698
```

**ΔE_f (raw)**: -78 kJ/mol of atoms
**DFT total energy**: -65.1 eV for the cell shown

No. 4
Below is a relaxed HfPtPb2O6 crystal, with properties calculated at the PBE level.

The structure in CIF format:
```
data_HfPtPb2O6
_space_group_name_H-M_alt 'R -3 m'
_space_group_IT_number 166
_space_group_name_Hall '-R 3 2"'
_cell_length_a 5.8766
_cell_length_b 5.8766
_cell_length_c 29.9138
_cell_angle_alpha 90.00
_cell_angle_beta 90.00
_cell_angle_gamma 120.00
loop_
_atom_site_label
_atom_site_type_symbol
_atom_site_fract_x
_atom_site_fract_y
_atom_site_fract_z
Hf1 Hf 0.0000 0.0000 0.0919
Pt1 Pt 0.0000 0.0000 0.0000
Pt2 Pt 0.0000 0.0000 0.5000
Pb1 Pb 0.0000 0.0000 0.2004
Pb2 Pb 0.0000 0.0000 0.3434
O1 O 0.0084 0.5042 0.7984
O2 O 0.0214 0.5107 0.6235
```

**ΔE_f (raw)**: -150 kJ/mol of atoms
**DFT total energy**: -412.4 eV for the cell shown

No. 5
Below is a relaxed CdGaHg2F crystal, with properties calculated at the PBE level.

The structure in CIF format:
```
data_CdGaHg2F
_space_group_name_H-M_alt 'P 4/m m m'
_space_group_IT_number 123
_space_group_name_Hall '-P 4 2'
_cell_length_a 5.4737
_cell_length_b 5.4737
_cell_length_c 4.1650
_cell_angle_alpha 90.00
_cell_angle_beta 90.00
_cell_angle_gamma 90.00
loop_
_atom_site_label
_atom_site_type_symbol
_atom_site_fract_x
_atom_site_fract_y
_atom_site_fract_z
Cd1 Cd 0.0000 0.0000 0.0000
Ga1 Ga 0.5000 0.5000 0.5000
Hg1 Hg 0.0000 0.5000 0.5000
F1 F 0.5000 0.5000 0.0000
```

**ΔE_f (raw)**: -50 kJ/mol of atoms
**DFT total energy**: -9.0 eV for the cell shown

No. 6
Below is a relaxed NpGa4Pt2 crystal, with properties calculated at the PBE level.

The structure in CIF format:
```
data_NpGa4Pt2
_space_group_name_H-M_alt 'P n m a'
_space_group_IT_number 62
_cell_length_a 17.2577
_cell_length_b 4.3345
_cell_length_c 6.6841
_cell_angle_alpha 90.00
_cell_angle_beta 90.00
_cell_angle_gamma 90.00
loop_
_space_group_symop_operation_xyz
'x,y,z'
'-x,-y,-z'
'-x+1/2,-y,z+1/2'
'x+1/2,y,-z+1/2'
'x+1/2,-y+1/2,-z+1/2'
'-x+1/2,y+1/2,z+1/2'
'-x,y+1/2,-z'
'x,-y+1/2,z'
loop_
_atom_site_label
_atom_site_type_symbol
_atom_site_fract_x
_atom_site_fract_y
_atom_site_fract_z
Np1 Np 0.1381 0.2500 0.0159
Ga1 Ga 0.0377 0.7500 0.8411
Ga2 Ga 0.0692 0.2500 0.4872
Ga3 Ga 0.1853 0.7500 0.3227
Ga4 Ga 0.1889 0.7500 0.7293
Pt1 Pt 0.0372 0.7500 0.2441
Pt2 Pt 0.2162 0.2500 0.5285
```

**Energy above the most stable polymorph in this dataset**: 0.0000 eV per atom
**Energy of formation from the pure elements**: -0.58 eV per atom
**DFT total energy**: -164.6 eV for the cell shown

No. 7
Below is a relaxed AlBN2O crystal, with properties calculated at the PBE level.

The structure in CIF format:
```
data_AlBN2O
_space_group_name_H-M_alt 'P 4/m m m'
_space_group_IT_number 123
_space_group_name_Hall '-P 4 2'
_cell_length_a 3.8615
_cell_length_b 3.8615
_cell_length_c 3.6038
_cell_angle_alpha 90.00
_cell_angle_beta 90.00
_cell_angle_gamma 90.00
loop_
_atom_site_label
_atom_site_type_symbol
_atom_site_fract_x
_atom_site_fract_y
_atom_site_fract_z
Al1 Al 0.0000 0.0000 0.0000
B1 B 0.5000 0.5000 0.5000
N1 N 0.0000 0.5000 0.0000
O1 O 0.0000 0.0000 0.5000
```

**ΔE_f (raw)**: 124 kJ/mol of atoms
**DFT total energy**: -25.6 eV for the cell shown

No. 8
Below is a relaxed PmSmDyTh2 crystal, with properties calculated at the PBE level.

The structure in CIF format:
```
data_PmSmDyTh2
_space_group_name_H-M_alt 'C m c m'
_space_group_IT_number 63
_space_group_name_Hall '-C 2c 2'
_cell_length_a 6.7000
_cell_length_b 15.7251
_cell_length_c 6.7048
_cell_angle_alpha 90.00
_cell_angle_beta 90.00
_cell_angle_gamma 90.00
loop_
_atom_site_label
_atom_site_type_symbol
_atom_site_fract_x
_atom_site_fract_y
_atom_site_fract_z
Pm1 Pm 0.0000 0.1517 0.2500
Sm1 Sm 0.0000 0.2572 0.7500
Dy1 Dy 0.0000 0.3486 0.2500
Th1 Th 0.2479 0.5000 0.0000
```

**Energy of formation from the pure elements**: 0.39 eV per atom
**DFT total energy**: -107.9 eV for the cell shown

No. 9
Below is a relaxed LiPr2Er crystal, with properties calculated at the PBE level.

The structure in CIF format:
```
data_LiPr2Er
_space_group_name_H-M_alt 'F m -3 m'
_space_group_IT_number 225
_space_group_name_Hall '-F 4 2 3'
_cell_length_a 7.9346
_cell_length_b 7.9346
_cell_length_c 7.9346
_cell_angle_alpha 90.00
_cell_angle_beta 90.00
_cell_angle_gamma 90.00
loop_
_atom_site_label
_atom_site_type_symbol
_atom_site_fract_x
_atom_site_fract_y
_atom_site_fract_z
Li1 Li 0.0000 0.0000 0.0000
Pr1 Pr 0.2500 0.2500 0.2500
Er1 Er 0.0000 0.0000 0.5000
```

**Energy above the most stable polymorph in this dataset**: 0.0834 eV per atom
**Energy of formation from the pure elements**: 0.15 eV per atom
**DFT total energy**: -61.8 eV for the cell shown

No. 10
Below is a relaxed NaAsRu2 crystal, with properties calculated at the PBE level.

The structure in CIF format:
```
data_NaAsRu2
_space_group_name_H-M_alt 'I -4 2 d'
_space_group_IT_number 122
_space_group_name_Hall 'I -4 2bw'
_cell_length_a 7.3609
_cell_length_b 7.3609
_cell_length_c 5.2993
_cell_angle_alpha 90.00
_cell_angle_beta 90.00
_cell_angle_gamma 90.00
loop_
_atom_site_label
_atom_site_type_symbol
_atom_site_fract_x
_atom_site_fract_y
_atom_site_fract_z
Na1 Na 0.0000 0.0000 0.0000
As1 As 0.0000 0.0000 0.5000
Ru1 Ru 0.1773 0.2500 0.6250
```

**Energy of formation from the pure elements**: 0.49 eV per atom
**DFT total energy**: -90.2 eV for the cell shown

No. 11
Below is a relaxed LiRh3C crystal, with properties calculated at the PBE level.

The structure in CIF format:
```
data_LiRh3C
_space_group_name_H-M_alt 'P m -3 m'
_space_group_IT_number 221
_space_group_name_Hall '-P 4 2 3'
_cell_length_a 4.0355
_cell_length_b 4.0355
_cell_length_c 4.0355
_cell_angle_alpha 90.00
_cell_angle_beta 90.00
_cell_angle_gamma 90.00
loop_
_atom_site_label
_atom_site_type_symbol
_atom_site_fract_x
_atom_site_fract_y
_atom_site_fract_z
Li1 Li 0.0000 0.0000 0.0000
Rh1 Rh 0.0000 0.5000 0.5000
C1 C 0.5000 0.5000 0.5000
```

**Energy above the most stable polymorph in this dataset**: 0.0000 eV per atom
**Energy of formation from the pure elements**: -0.04 eV per atom
**DFT total energy**: -33.4 eV for the cell shown

No. 12
Below is a relaxed RbBaMn2Te crystal, with properties calculated at the PBE level.

The structure in CIF format:
```
data_RbBaMn2Te
_space_group_name_H-M_alt 'P 4/m m m'
_space_group_IT_number 123
_space_group_name_Hall '-P 4 2'
_cell_length_a 5.6985
_cell_length_b 5.6985
_cell_length_c 6.4970
_cell_angle_alpha 90.00
_cell_angle_beta 90.00
_cell_angle_gamma 90.00
loop_
_atom_site_label
_atom_site_type_symbol
_atom_site_fract_x
_atom_site_fract_y
_atom_site_fract_z
Rb1 Rb 0.0000 0.0000 0.0000
Ba1 Ba 0.5000 0.5000 0.5000
Mn1 Mn 0.0000 0.5000 0.0000
Te1 Te 0.0000 0.0000 0.5000
```

**ΔE_f (raw)**: 89 kJ/mol of atoms
**DFT total energy**: -19.8 eV for the cell shown